Material: SrLaHo
Method: DFT, PBE-GGA
State: relaxed

abc: 8.217 8.217 8.217
angles: 90.00 90.00 90.00
Space group F-43m (No. 216)
Unique sites:
Sr 0.000 0.000 0.000
La 0.000 0.000 0.500
Ho 0.250 0.250 0.750

## Properties
Raw total energy = -2.982 eV per atom
ΔE to the lowest computed polymorph = 0.0000 eV per atom